No. 1
Ho2Tm2CI5 | PBE | optimized geometry

Values from the calculation:
- Relative energy among the computed polymorphs: 0.0 meV per atom

a b c (Å): 9.9185 9.9185 8.5007
angles (deg): 101.99 101.99 22.89
Fractional coordinates of all 10 atoms:
1 I 0.5000 0.5000 0.5000
2 I 0.1611 0.1611 0.3347
3 I 0.8389 0.8389 0.6653
4 I 0.1637 0.1637 0.8246
5 I 0.8363 0.8363 0.1754
6 Tm 0.6234 0.6234 0.0610
7 Tm 0.3766 0.3766 0.9390
8 C 0.5000 0.5000 0.0000
9 Ho 0.9996 0.9996 0.1895
10 Ho 0.0004 0.0004 0.8105

No. 2
Y2Ho2CI5 | PBE | optimized geometry

Values from the calculation:
- E: -50.02 eV for the cell shown

a b c (Å): 9.7333 9.7333 8.5938
angles (deg): 102.41 102.41 23.44
Fractional coordinates of all 10 atoms:
1 Y 0.6295 0.6295 0.0642
2 Y 0.3705 0.3705 0.9358
3 I 0.5000 0.5000 0.5000
4 I 0.1667 0.1667 0.8202
5 I 0.1628 0.1628 0.3414
6 I 0.8372 0.8372 0.6586
7 I 0.8333 0.8333 0.1798
8 Ho 0.9996 0.9996 0.1874
9 Ho 0.0004 0.0004 0.8126
10 C 0.5000 0.5000 0.0000

No. 3
Y2Ho2CI5 | PBE | optimized geometry

Values from the calculation:
- E: -50.04 eV for the cell shown

a b c (Å): 9.7263 9.7263 8.5737
angles (deg): 102.35 102.35 23.52
Fractional coordinates of all 10 atoms:
1 I 0.1675 0.1675 0.8227
2 I 0.5000 0.5000 0.5000
3 I 0.8363 0.8363 0.6603
4 I 0.8325 0.8325 0.1773
5 I 0.1637 0.1637 0.3397
6 Ho 0.3714 0.3714 0.9360
7 Ho 0.6286 0.6286 0.0640
8 Y 0.0005 0.0005 0.8106
9 Y 0.9995 0.9995 0.1894
10 C 0.5000 0.5000 0.0000